(1)
A plane-wave DFT calculation with PBE-GGA was carried out for a relaxed Zn8Ag3Au crystal.

Structure (extended XYZ):
```
12
Lattice="-6.678 -1.918 -2.507 3.302 -0.226 6.652 -0.650 3.861 7.569" Properties=species:S:1:pos:R:3 pbc="T T T"
Zn -3.099 -0.204 4.787
Ag -2.498 0.955 2.290
Zn -4.268 -1.114 1.430
Ag -0.324 0.561 4.246
Au -0.603 3.529 6.918
Zn -2.277 2.368 4.978
Zn -5.485 0.858 2.637
Ag -3.933 0.937 7.086
Zn -1.177 0.945 6.898
Zn 0.856 -0.554 6.457
Zn -0.145 3.324 9.494
Zn -4.794 2.040 4.795
```

Properties
- density of states at the Fermi level (states/eV/cell) = 3.2
- volume (Å³/atom) = 17.30
- distance to the lowest polymorph of the same formula (eV/atom) = 0.000
- E (eV per atom) = -1.82
- space-group type = Cm (8)
- calculated formation energy (eV per atom) = 0.02
- density (g/cm3) = 8.4

=====

(2)
A plane-wave DFT calculation with PBE-GGA was carried out for a relaxed BeAgF crystal.

Structure (extended XYZ):
```
6
Lattice="2.606 0.000 0.000 -1.303 2.676 0.000 0.000 0.000 13.179" Properties=species:S:1:pos:R:3 pbc="T T T"
F 1.303 1.184 7.665
Ag 0.000 1.254 11.341
Ag 0.000 1.254 1.838
Be 0.000 1.182 6.589
F 1.303 1.184 5.514
Be 1.303 0.187 0.000
```

Properties
- density of states at the Fermi level (states/eV/cell) = 0.6
- volume (Å³/atom) = 15.32
- E (eV per atom) = -3.91
- space-group type = Amm2 (38)
- uncorrected formation energy (eV/atom) = -1.0911
- density (g/cm3) = 4.9

=====

Which value of E does entry 2 give?
-3.91 eV per atom

=====

Among the records above, which one has the lowest volume?
BeAgF